DFT (PBE-GGA) results for a geometry-optimized Ce3AlCo2 structure.

Structure (CIF):
```
data_Ce3AlCo2
_space_group_name_H-M_alt 'I m m m'
_space_group_IT_number 71
_space_group_name_Hall '-I 2 2'
_cell_length_a 4.393
_cell_length_b 4.458
_cell_length_c 12.378
_cell_angle_alpha 90.00
_cell_angle_beta 90.00
_cell_angle_gamma 90.00
loop_
_atom_site_label
_atom_site_fract_x
_atom_site_fract_y
_atom_site_fract_z
Ce1 0.000 0.000 0.000
Ce2 0.000 0.500 0.316
Al1 0.000 0.000 0.500
Co1 0.000 0.500 0.138
```

Results
As for the formation energy: -0.304 eV per atom.